No. 1
DFT (meta-GGA SCAN) results for a PBEsol-optimized structure of LiReSi2.

Symmetry: C2/m (12)
Relative energy among the computed polymorphs in meV per atom: 136
Calculated volume in Å³ per cell: 58.84
ΔE_f (raw) in meV/atom: -10
DOS at the Fermi energy in states/eV/cell: 1.50
Size of the total moment in μB/f.u.: 0.0
Electronic total energy in eV/atom: -23.390

Structure (extended XYZ):
```
4
Lattice="2.904 0.000 0.000 -1.452 4.049 -0.009 0.000 -0.833 5.006" Properties=species:S:1:pos:R:3 pbc="T T T"
Si 0.000 1.889 1.517
Si 1.452 1.327 3.479
Re 0.000 -0.417 2.503
Li 1.452 0.000 0.000
```

***

No. 2
DFT (meta-GGA SCAN) results for a PBEsol-optimized structure of CoBSb2Te.

Symmetry: P4/mmm (123)
Calculated volume in Å³ per cell: 101.83
ΔE_f (raw) in meV/atom: 1094
DOS at the Fermi energy in states/eV/cell: 2.81
Size of the total moment in μB/f.u.: 2.0
Electronic total energy in eV/atom: -26.207

Structure (extended XYZ):
```
5
Lattice="-0.891 4.535 0.395 -3.521 -0.942 2.869 2.943 0.256 3.696" Properties=species:S:1:pos:R:3 pbc="T T T"
Te 1.472 0.128 1.848
B 0.000 0.000 0.000
Sb -0.446 2.268 0.198
Sb -1.761 -0.471 1.435
Co -0.735 1.925 3.480
```

***

No. 3
DFT (meta-GGA SCAN) results for a PBEsol-optimized structure of TiAgAs2Br.

Symmetry: P4/mmm (123)
Relative energy among the computed polymorphs in meV per atom: 590
Calculated volume in Å³ per cell: 121.55
ΔE_f (raw) in meV/atom: 675
DOS at the Fermi energy in states/eV/cell: 3.37
Size of the total moment in μB/f.u.: 1.2
Electronic total energy in eV/atom: -20.773

Structure (extended XYZ):
```
5
Lattice="-2.871 -3.833 -0.864 0.801 -1.618 4.519 -4.057 2.662 1.672" Properties=species:S:1:pos:R:3 pbc="T T T"
Ag 0.000 0.000 0.000
Br -2.029 1.331 0.836
As -1.436 -1.917 -0.432
As 0.400 -0.809 2.260
Ti -3.064 -1.395 2.664
```

***

No. 4
DFT (meta-GGA SCAN) results for a PBEsol-optimized structure of ReSiAu2.

Symmetry: I4/mmm (139)
Calculated volume in Å³ per cell: 61.56
ΔE_f (raw) in meV/atom: 598
DOS at the Fermi energy in states/eV/cell: 2.52
Size of the total moment in μB/f.u.: 0.0
Electronic total energy in eV/atom: -54.258

Structure (extended XYZ):
```
4
Lattice="-0.872 3.196 -1.839 0.655 -1.726 -3.310 -3.997 -1.957 2.399" Properties=species:S:1:pos:R:3 pbc="T T T"
Re -0.109 0.735 -2.574
Si 0.000 0.000 0.000
Au -2.489 0.987 -1.008
Au -1.725 -1.474 -1.743
```

***

No. 5
DFT (meta-GGA SCAN) results for a PBEsol-optimized structure of MgMo2BrCl.

Symmetry: P4/mmm (123)
Calculated volume in Å³ per cell: 97.63
ΔE_f (raw) in meV/atom: 1247
DOS at the Fermi energy in states/eV/cell: 4.99
Size of the total moment in μB/f.u.: 0.0
Electronic total energy in eV/atom: -19.189

Structure (extended XYZ):
```
5
Lattice="-1.175 2.550 -3.388 -1.247 -3.567 -2.253 -4.646 0.412 1.921" Properties=species:S:1:pos:R:3 pbc="T T T"
Mo -0.624 -1.784 -1.126
Mo -0.587 1.275 -1.694
Cl 0.000 0.000 0.000
Mg -2.323 0.206 0.960
Br -3.534 -0.303 -1.860
```

***

No. 6
DFT (meta-GGA SCAN) results for a PBEsol-optimized structure of VOF.

Symmetry: Ama2 (40)
Calculated volume in Å³ per cell: 257.54
ΔE_f (raw) in meV/atom: -2941
DOS at the Fermi energy in states/eV/cell: 2.77
Size of the total moment in μB/f.u.: 2.0
Electronic total energy in eV/atom: -12.028

Structure (extended XYZ):
```
24
Lattice="-2.010 -0.021 4.159 -4.012 -1.192 -1.954 2.827 -11.659 1.308" Properties=species:S:1:pos:R:3 pbc="T T T"
V -5.085 -4.068 2.569
V -2.003 -5.009 1.422
V -0.196 -0.039 0.072
V -1.184 -7.862 2.088
V -3.743 -9.939 3.005
V -0.478 -10.774 2.415
V -2.709 -2.097 1.095
V 1.218 -5.869 0.726
F -4.266 -0.859 1.562
F -1.061 -3.282 0.879
F -2.077 -1.719 3.065
F 0.408 -9.079 1.703
F -2.852 -6.689 2.215
F -1.369 -4.638 3.393
F -1.841 -8.237 0.125
F -1.133 -11.156 0.452
O -0.609 -7.535 3.835
O 0.094 -10.431 4.160
O -3.278 -2.440 -0.652
O -2.575 -5.335 -0.327
O -3.451 -3.756 1.813
O -2.017 -9.574 2.531
O -0.481 -6.211 1.348
O -1.895 -0.382 0.694
```

***

No. 7
DFT (meta-GGA SCAN) results for a PBEsol-optimized structure of Ca2Hg2Pb.

Symmetry: P4/mbm (127)
Relative energy among the computed polymorphs in meV per atom: 0
Calculated volume in Å³ per cell: 266.87
Calculated formation energy in meV/atom: -645
DOS at the Fermi energy in states/eV/cell: 4.45
Size of the total moment in μB/f.u.: 0.0
Electronic total energy in eV/atom: -46.933

Structure (extended XYZ):
```
10
Lattice="3.980 0.000 0.000 0.000 8.188 0.000 0.000 0.000 8.188" Properties=species:S:1:pos:R:3 pbc="T T T"
Hg 0.000 5.125 1.031
Hg 0.000 7.158 5.125
Hg 0.000 1.031 3.063
Hg 0.000 3.063 7.158
Pb 0.000 0.000 0.000
Pb 0.000 4.094 4.094
Ca 1.990 2.684 1.410
Ca 1.990 6.778 2.684
Ca 1.990 1.410 5.505
Ca 1.990 5.505 6.778
```

***

No. 8
DFT (meta-GGA SCAN) results for a PBEsol-optimized structure of Sc2BiRuSe.

Symmetry: P4/mmm (123)
Calculated volume in Å³ per cell: 123.56
ΔE_f (raw) in meV/atom: -270
DOS at the Fermi energy in states/eV/cell: 3.55
Size of the total moment in μB/f.u.: 0.0
Electronic total energy in eV/atom: -32.662

Structure (extended XYZ):
```
5
Lattice="-4.671 1.775 0.295 -0.983 -3.198 3.673 1.491 3.370 3.333" Properties=species:S:1:pos:R:3 pbc="T T T"
Se -2.082 0.973 3.650
Sc -0.491 -1.599 1.836
Sc 0.745 1.685 1.666
Bi -2.336 0.887 0.148
Ru 0.000 0.000 0.000
```

***

No. 9
DFT (meta-GGA SCAN) results for a PBEsol-optimized structure of Mg3BiOs.

Symmetry: Pm-3m (221)
Calculated volume in Å³ per cell: 122.51
Calculated formation energy in meV/atom: 449
DOS at the Fermi energy in states/eV/cell: 3.52
Size of the total moment in μB/f.u.: 0.0
Electronic total energy in eV/atom: -32.627

Structure (extended XYZ):
```
5
Lattice="-4.510 -0.717 1.952 0.876 -4.883 0.230 1.886 0.553 4.561" Properties=species:S:1:pos:R:3 pbc="T T T"
Mg -2.255 -0.359 0.976
Mg 0.943 0.277 2.281
Mg 0.438 -2.442 0.115
Os 0.000 0.000 0.000
Bi -0.874 -2.524 3.371
```

***

No. 10
DFT (meta-GGA SCAN) results for a PBEsol-optimized structure of LiCdPt2.

Symmetry: Pmmm (47)
Calculated volume in Å³ per cell: 60.94
Calculated formation energy in meV/atom: -469
DOS at the Fermi energy in states/eV/cell: 1.25
Size of the total moment in μB/f.u.: 0.0
Electronic total energy in eV/atom: -43.767

Structure (extended XYZ):
```
4
Lattice="-1.563 1.967 -1.275 -3.071 -2.336 0.160 -1.371 2.145 4.990" Properties=species:S:1:pos:R:3 pbc="T T T"
Cd -2.317 -0.185 -0.557
Pt -1.010 1.580 3.676
Pt -0.361 0.565 1.314
Li -3.002 0.887 1.938
```

***

No. 11
DFT (meta-GGA SCAN) results for a PBEsol-optimized structure of MgMoO4.

Symmetry: C2/m (12)
Calculated volume in Å³ per cell: 321.19
ΔE_f (raw) in meV/atom: -2515
DOS at the Fermi energy in states/eV/cell: 0.00
Size of the total moment in μB/f.u.: 0.0
Electronic total energy in eV/atom: -13.312

Structure (extended XYZ):
```
24
Lattice="-2.180 6.553 -0.527 -5.824 -1.453 -3.455 -4.913 0.397 5.031" Properties=species:S:1:pos:R:3 pbc="T T T"
O -4.318 -0.884 -2.328
O -9.847 3.646 2.285
O -7.201 4.266 1.788
O -5.717 1.230 -0.740
O -8.316 1.816 0.892
O -1.806 4.636 -0.309
O -4.602 3.680 0.156
O -8.351 0.571 -1.626
O -3.071 1.850 -1.236
O -4.567 4.925 2.674
O -11.112 0.861 1.358
O -5.576 1.787 2.055
O -7.341 3.710 -1.007
O -8.599 6.380 3.376
O -7.163 -0.779 0.589
O -5.754 6.275 0.460
Mo -6.625 3.962 -2.589
Mo -7.368 0.750 -0.206
Mo -6.293 1.534 3.637
Mo -5.550 4.746 1.255
Mg -4.152 1.667 0.610
Mg -3.349 3.986 -1.466
Mg -8.766 3.829 0.438
Mg -4.656 1.114 -2.516
```

***

No. 12
DFT (meta-GGA SCAN) results for a PBEsol-optimized structure of LaCoS2.

Symmetry: R-3m (166)
Calculated volume in Å³ per cell: 80.55
ΔE_f (raw) in meV/atom: -612
DOS at the Fermi energy in states/eV/cell: 1.82
Size of the total moment in μB/f.u.: 0.0
Electronic total energy in eV/atom: -20.528

Structure (extended XYZ):
```
4
Lattice="3.472 0.000 0.000 1.736 3.007 0.000 1.736 1.002 7.716" Properties=species:S:1:pos:R:3 pbc="T T T"
Co 3.472 2.004 3.858
La 0.000 0.000 0.000
S 5.208 3.007 2.799
S 1.736 1.002 4.917
```